[1]
Material: CdRu2Se
Method: DFT, GGA-PBEsol
State: optimized geometry

The structure in POSCAR format:
```
CdRu2Se
1.0
2.910 0.018 0.000
-1.412 2.545 0.000
0.000 0.000 8.529
Cd Ru Se
1 2 1
Direct
0.500 0.500 0.000 Cd
0.000 0.000 0.276 Ru
0.000 0.000 0.724 Ru
0.500 0.500 0.500 Se
```

Computed properties:
The energy above the lowest structure with this stoichiometry is 0.353 eV per atom. The total energy is -5.8216 eV per atom. The calculation puts the uncorrected formation energy at 0.53 eV/atom.

[2]
Material: CoAs2Au
Method: DFT, GGA-PBEsol
State: optimized geometry

The structure in POSCAR format:
```
CoAs2Au
1.0
-2.086 1.824 0.799
0.688 -0.447 2.816
5.079 5.939 -0.297
Co As Au
1 2 1
Direct
0.500 0.500 0.956 Co
0.000 0.000 0.810 As
0.500 0.500 0.246 As
0.000 0.000 0.488 Au
```

Computed properties:
Its energy of formation from the pure elements is 0.05 eV/atom. The energy above the lowest structure with this stoichiometry is 0.000 eV per atom. The total energy is -5.4195 eV per atom.

[3]
Material: ReWCl2
Method: DFT, GGA-PBEsol
State: optimized geometry

The structure in POSCAR format:
```
ReWCl2
1.0
4.471 0.000 0.000
2.236 3.872 0.000
2.236 1.291 3.651
Re W Cl
1 1 2
Direct
0.500 0.500 0.500 Re
0.250 0.250 0.250 W
0.000 0.000 0.000 Cl
0.750 0.750 0.750 Cl
```

Computed properties:
The energy above the lowest structure with this stoichiometry is 1.348 eV per atom. The total energy is -6.6228 eV per atom. The calculation puts the uncorrected formation energy at 1.17 eV/atom.

- Among the records above, which one has the lowest energy above the lowest structure with this stoichiometry?
  CoAs2Au